Compound: SrCoP2O7
Source: OQMD via LeMat-Bulk
Functional: PBE with a Hubbard U
Structure: optimized geometry

abc: 5.293 8.204 13.643
angles: 90.00 112.76 90.00
Space group P2_1/c (No. 14)
Symmetry-distinct sites (fractional):
1 Sr 0.065 0.161 0.279
2 Co 0.429 0.146 0.606
3 P 0.200 0.700 0.017
4 P 0.413 0.534 0.662
5 O 0.075 0.167 0.473
6 O 0.197 0.680 0.905
7 O 0.276 0.610 0.544
8 O 0.280 0.058 0.799
9 O 0.286 0.620 0.732
10 O 0.323 0.144 0.151
11 O 0.432 0.601 0.101

- Calculated total energy: -311.7 eV per cell
- Theoretical density: 3.90 g/cm³